[1]
{
  "formula": "Nd3UPa2P6",
  "functional": "GGA-PBE",
  "state": "optimized geometry",
  "e_form_ev_per_atom": -1.37,
  "lattice": [[4.042, 0.000, 0.000], [0.000, 8.138, 0.252], [-2.021, -2.384, 8.531]],
  "species": ["Nd", "Nd", "Nd", "U", "Pa", "Pa", "P", "P", "P", "P", "P", "P"],
  "fractional_positions": [[0.500, 0.500, 0.000], [0.833, 0.167, 0.665], [0.167, 0.833, 0.335], [0.500, 0.000, 0.000], [0.835, 0.669, 0.669], [0.165, 0.331, 0.331], [0.338, 0.908, 0.675], [0.671, 0.573, 0.342], [0.662, 0.092, 0.325], [0.003, 0.240, 0.006], [0.997, 0.760, 0.994], [0.329, 0.427, 0.658]]
}

***

[2]
{
  "formula": "Np2S2N",
  "functional": "GGA-PBE",
  "state": "optimized geometry",
  "relative_energy_ev_per_fu": 0.00,
  "lattice": [[6.732, 0.000, -0.519], [0.000, 7.021, 0.000], [-0.660, 0.000, 8.169]],
  "species": ["Np", "Np", "Np", "Np", "Np", "Np", "Np", "Np", "S", "S", "S", "S", "S", "S", "S", "S", "N", "N", "N", "N"],
  "fractional_positions": [[0.755, 0.949, 0.140], [0.255, 0.551, 0.140], [0.745, 0.449, 0.860], [0.245, 0.051, 0.860], [0.689, 0.364, 0.423], [0.189, 0.136, 0.423], [0.811, 0.864, 0.577], [0.311, 0.636, 0.577], [0.528, 0.271, 0.079], [0.028, 0.229, 0.079], [0.972, 0.771, 0.921], [0.472, 0.729, 0.921], [0.934, 0.644, 0.323], [0.434, 0.856, 0.323], [0.566, 0.144, 0.677], [0.066, 0.356, 0.677], [0.348, 0.415, 0.384], [0.652, 0.585, 0.616], [0.848, 0.085, 0.384], [0.152, 0.915, 0.616]]
}

***

[3]
{
  "formula": "Sr2MnCl6",
  "functional": "GGA-PBE",
  "state": "optimized geometry",
  "relative_energy_ev_per_fu": 0.28,
  "lattice": [[6.538, 0.000, 0.000], [0.000, 6.538, 0.000], [0.000, 0.000, 12.692]],
  "species": ["Sr", "Sr", "Sr", "Sr", "Mn", "Mn", "Cl", "Cl", "Cl", "Cl", "Cl", "Cl", "Cl", "Cl", "Cl", "Cl", "Cl", "Cl"],
  "fractional_positions": [[0.000, 0.000, 0.334], [0.500, 0.500, 0.834], [0.500, 0.500, 0.166], [0.000, 0.000, 0.666], [0.000, 0.000, 0.000], [0.500, 0.500, 0.500], [0.314, 0.314, 0.352], [0.686, 0.686, 0.352], [0.186, 0.814, 0.852], [0.814, 0.186, 0.852], [0.186, 0.814, 0.148], [0.814, 0.186, 0.148], [0.314, 0.314, 0.648], [0.686, 0.686, 0.648], [0.283, 0.283, 0.000], [0.717, 0.717, 0.000], [0.217, 0.783, 0.500], [0.783, 0.217, 0.500]]
}

***

[4]
{
  "formula": "Ga2Sb2As",
  "functional": "GGA-PBE",
  "state": "optimized geometry",
  "relative_energy_ev_per_fu": 0.00,
  "lattice": [[-0.748, 1.344, 7.720], [7.619, -1.688, 1.032], [0.908, 3.754, -0.566]],
  "species": ["Sb", "Sb", "Sb", "Sb", "As", "As", "Ga", "Ga", "Ga", "Ga"],
  "fractional_positions": [[0.325, 0.825, 0.000], [0.825, 0.675, 0.000], [0.675, 0.175, 0.000], [0.175, 0.325, 0.000], [0.000, 0.000, 0.000], [0.500, 0.500, 0.000], [0.129, 0.629, 0.500], [0.629, 0.871, 0.500], [0.871, 0.371, 0.500], [0.371, 0.129, 0.500]]
}

***

[5]
{
  "formula": "KNa2AsCl6",
  "functional": "GGA-PBE",
  "state": "optimized geometry",
  "lattice": [[-6.573, -2.250, -1.522], [-3.136, -4.871, 4.126], [-5.682, 2.299, 4.524]],
  "species": ["K", "Na", "Na", "As", "Cl", "Cl", "Cl", "Cl", "Cl", "Cl"],
  "fractional_positions": [[0.809, 0.809, 0.572], [0.527, 0.527, 0.420], [0.004, 0.004, 0.987], [0.329, 0.329, 0.014], [0.570, 0.244, 0.232], [0.244, 0.954, 0.232], [0.954, 0.570, 0.232], [0.375, 0.698, 0.775], [0.698, 0.152, 0.775], [0.152, 0.375, 0.775]]
}

***

[6]
{
  "formula": "K2AsAu",
  "functional": "GGA-PBE",
  "state": "optimized geometry",
  "e_form_ev_per_atom": -0.25,
  "lattice": [[12.512, 0.000, 0.000], [0.000, 12.512, 0.000], [6.256, 6.256, 2.505]],
  "species": ["As", "As", "Au", "Au", "K", "K", "K", "K"],
  "fractional_positions": [[0.500, 0.500, 0.000], [0.250, 0.750, 0.500], [0.000, 0.000, 0.000], [0.750, 0.250, 0.500], [0.846, 0.125, 0.250], [0.904, 0.625, 0.250], [0.375, 0.154, 0.750], [0.875, 0.096, 0.750]]
}

***

Computed volume, in the same sequence as the records: 23.6 19.2 30.1 24.2 28.1 49.0 Å³/atom.
Computed raw total energy, in the same sequence as the records: -7.7881 -9.8711 -4.6018 -3.6070 -3.3149 -2.7790 eV/atom.